1.
{"formula": "Hf2VCo3", "functional": "PBE", "state": "optimized geometry", "lattice": [[-2.894, -0.252, -2.561], [0.058, -4.856, 0.413], [-1.831, 2.825, 4.719]], "species": ["Hf", "Hf", "V", "Co", "Co", "Co"], "fractional_positions": [[0.682, 0.182, 0.363], [0.318, 0.818, 0.637], [0.000, 0.500, 0.000], [0.369, 0.369, 0.737], [0.000, 0.000, 0.000], [0.631, 0.631, 0.263]], "relative_energy_kj_per_mol_fu": 246.4}

=====

2.
{"formula": "TbSmPu2Te5", "functional": "PBE", "state": "optimized geometry", "lattice": [[-3.762, 2.870, -2.897], [-3.261, 0.251, 4.482], [5.169, 10.006, 3.199]], "species": ["Tb", "Sm", "Pu", "Pu", "Te", "Te", "Te", "Te", "Te"], "fractional_positions": [[0.000, 0.000, 0.500], [0.000, 0.000, 0.000], [0.500, 0.500, 0.324], [0.500, 0.500, 0.676], [0.000, 0.500, 0.500], [0.500, 0.000, 0.500], [0.000, 0.000, 0.754], [0.000, 0.000, 0.246], [0.500, 0.500, 0.000]], "formation_energy_uncorrected_ev_per_atom": -0.685}

=====

3.
{"formula": "LiCaUBr6", "functional": "PBE", "state": "optimized geometry", "lattice": [[-5.469, -3.491, -2.990], [6.606, -2.690, -0.406], [-1.966, -6.521, 11.212]], "species": ["Li", "Li", "Ca", "Ca", "U", "U", "Br", "Br", "Br", "Br", "Br", "Br", "Br", "Br", "Br", "Br", "Br", "Br"], "fractional_positions": [[0.333, 0.667, 0.250], [0.667, 0.333, 0.750], [0.000, 0.000, 0.000], [0.000, 0.000, 0.500], [0.667, 0.333, 0.250], [0.333, 0.667, 0.750], [0.653, 0.667, 0.127], [0.013, 0.347, 0.127], [0.347, 0.013, 0.627], [0.987, 0.653, 0.873], [0.333, 0.347, 0.373], [0.013, 0.667, 0.373], [0.667, 0.013, 0.873], [0.653, 0.987, 0.373], [0.987, 0.333, 0.627], [0.333, 0.987, 0.127], [0.667, 0.653, 0.627], [0.347, 0.333, 0.873]], "formation_energy_uncorrected_ev_per_atom": -1.551}